[1]
Density functional theory data (PBE-GGA) for crystalline Hf2Ti3Bi2 at its relaxed geometry.

Results
DFT formation energy: -0.11 eV per atom

Unit cell a=10.8096 b=3.9842 c=7.2814 alpha=90.00 beta=106.98 gamma=90.00
Space group C2/m (No. 12)
Inequivalent atoms, fractional coordinates:
Hf: 0.0841 0.0000 0.2154 (multiplicity 4)
Ti: 0.0000 0.5000 0.5000 (multiplicity 2)
Ti: 0.1220 0.5000 0.9330 (multiplicity 4)
Bi: 0.1850 0.0000 0.6816 (multiplicity 4)

[2]
Density functional theory data (PBE-GGA) for crystalline Sm3Ga2Os at its relaxed geometry.

Results
DFT formation energy: -0.43 eV per atom

Unit cell a=12.2051 b=4.3849 c=11.1434 alpha=90.00 beta=90.00 gamma=90.00
Space group Pnma (No. 62)
Inequivalent atoms, fractional coordinates:
Sm: 0.0523 0.2500 0.1160 (multiplicity 4)
Sm: 0.1177 0.7500 0.5548 (multiplicity 4)
Sm: 0.2329 0.2500 0.7903 (multiplicity 4)
Ga: 0.0120 0.7500 0.3014 (multiplicity 4)
Ga: 0.2005 0.7500 0.9908 (multiplicity 4)
Os: 0.1170 0.2500 0.3661 (multiplicity 4)

[3]
Density functional theory data (PBE-GGA) for crystalline HoWN2 at its relaxed geometry.

Results
Energy above the lowest structure with this stoichiometry: 0 meV/atom
Uncorrected formation energy: -108 kJ/mol of atoms

Unit cell a=5.7063 b=3.1968 c=10.5359 alpha=90.00 beta=90.00 gamma=90.00
Space group Pnma (No. 62)
Inequivalent atoms, fractional coordinates:
Ho: 0.0793 0.2500 0.1453 (multiplicity 4)
W: 0.0669 0.7500 0.4048 (multiplicity 4)
N: 0.1650 0.2500 0.7511 (multiplicity 4)
N: 0.2372 0.7500 0.9933 (multiplicity 4)

[4]
Density functional theory data (PBE-GGA) for crystalline Pm3Zn8Cd at its relaxed geometry.

Results
DFT formation energy: -0.27 eV per atom

Unit cell a=5.5076 b=5.5076 c=27.0227 alpha=90.00 beta=90.00 gamma=120.00
Space group R3m (No. 160, hexagonal axes)
Inequivalent atoms, fractional coordinates:
Pm: 0.0000 0.0000 0.0000 (multiplicity 3)
Pm: 0.0000 0.0000 0.1266 (multiplicity 3)
Pm: 0.0000 0.0000 0.5096 (multiplicity 3)
Zn: 0.0000 0.0000 0.3170 (multiplicity 3)
Zn: 0.0000 0.0000 0.8152 (multiplicity 3)
Zn: 0.0029 0.5014 0.5656 (multiplicity 9)
Zn: 0.0037 0.5019 0.0664 (multiplicity 9)
Cd: 0.0000 0.0000 0.6322 (multiplicity 3)

[5]
Density functional theory data (PBE-GGA) for crystalline Ba2Mg2F at its relaxed geometry.

Results
Energy above the lowest structure with this stoichiometry: 194 meV/atom
Uncorrected formation energy: -67 kJ/mol of atoms

Unit cell a=4.0980 b=4.0980 c=19.7902 alpha=90.00 beta=90.00 gamma=90.00
Space group I4/mmm (No. 139)
Inequivalent atoms, fractional coordinates:
Ba: 0.0000 0.0000 0.0933 (multiplicity 4)
Mg: 0.0000 0.5000 0.2500 (multiplicity 4)
F: 0.0000 0.0000 0.5000 (multiplicity 2)

[6]
Density functional theory data (PBE-GGA) for crystalline Ce2Y2Te5 at its relaxed geometry.

Results
Uncorrected formation energy: -126 kJ/mol of atoms

Unit cell a=15.8997 b=8.3477 c=8.3254 alpha=90.00 beta=90.00 gamma=90.00
Space group Cmce (No. 64)
Inequivalent atoms, fractional coordinates:
Ce: 0.1963 0.0000 0.0000 (multiplicity 8)
Y: 0.0000 0.1460 0.3511 (multiplicity 8)
Te: 0.0000 0.0000 0.0000 (multiplicity 4)
Te: 0.1355 0.1585 0.6546 (multiplicity 16)

[7]
Density functional theory data (PBE-GGA) for crystalline Ce4Bi3Ru2 at its relaxed geometry.

Results
DFT formation energy: -0.45 eV per atom

Unit cell a=14.0179 b=10.8871 c=7.1056 alpha=90.00 beta=101.75 gamma=90.00
Space group C2/c (No. 15)
Inequivalent atoms, fractional coordinates:
Ce: 0.1037 0.1697 0.0805 (multiplicity 8)
Ce: 0.1894 0.4821 0.5937 (multiplicity 8)
Bi: 0.0000 0.4091 0.2500 (multiplicity 4)
Bi: 0.1263 0.1297 0.5950 (multiplicity 8)
Ru: 0.2127 0.3234 0.8334 (multiplicity 8)

[8]
Density functional theory data (PBE-GGA) for crystalline TbDyZr2 at its relaxed geometry.

Results
Energy above the lowest structure with this stoichiometry: 104 meV/atom
DFT formation energy: 0.22 eV per atom

Unit cell a=3.9435 b=3.9435 c=6.8455 alpha=90.00 beta=90.00 gamma=90.00
Space group P4/mmm (No. 123)
Inequivalent atoms, fractional coordinates:
Tb: 0.0000 0.0000 0.0000 (multiplicity 1)
Dy: 0.0000 0.0000 0.5000 (multiplicity 1)
Zr: 0.5000 0.5000 0.2696 (multiplicity 2)

Table of final energy (eV/cell), in record order: -104.27; -136.11; -154.69; -85.80; -24.80; -208.99; -232.03; -25.43